Record 1
# Nd3YSn3 | the Alexandria database | GGA-PBE | optimized geometry
# Mass density ... 5.78 g/cm³
# Formation energy ... -0.45 eV/atom
# V ... 504.75 Å³/cell
# Raw total energy ... -5.13 eV per atom
data_Nd3YSn3
_cell_length_a 6.297
_cell_length_b 9.621
_cell_length_c 9.621
_cell_angle_alpha 120.00
_cell_angle_beta 90.00
_cell_angle_gamma 90.00
_space_group_name_H-M_alt 'P 1'
_space_group_IT_number 1
loop_
_space_group_symop_operation_xyz
'x,y,z'
loop_
_atom_site_label
_atom_site_type_symbol
_atom_site_fract_x
_atom_site_fract_y
_atom_site_fract_z
Nd1 Nd 0.750 0.694 0.667
Nd2 Nd 0.750 0.333 0.027
Nd3 Nd 0.750 0.973 0.306
Nd4 Nd 0.250 0.306 0.333
Nd5 Nd 0.250 0.667 0.973
Nd6 Nd 0.250 0.027 0.694
Y1 Y 0.250 0.667 0.333
Y2 Y 0.750 0.333 0.667
Sn1 Sn 0.250 0.662 0.650
Sn2 Sn 0.250 0.350 0.011
Sn3 Sn 0.250 0.989 0.338
Sn4 Sn 0.750 0.338 0.350
Sn5 Sn 0.750 0.650 0.989
Sn6 Sn 0.750 0.011 0.662

Record 2
# Hf3Mn2Ir | the Alexandria database | GGA-PBE | optimized geometry
# Mass density ... 14.20 g/cm³
# Formation energy ... -0.46 eV/atom
# V ... 97.96 Å³/cell
# Raw total energy ... -9.97 eV per atom
data_Hf3Mn2Ir
_cell_length_a 3.190
_cell_length_b 3.190
_cell_length_c 9.625
_cell_angle_alpha 90.00
_cell_angle_beta 90.00
_cell_angle_gamma 90.00
_space_group_name_H-M_alt 'P 1'
_space_group_IT_number 1
loop_
_space_group_symop_operation_xyz
'x,y,z'
loop_
_atom_site_label
_atom_site_type_symbol
_atom_site_fract_x
_atom_site_fract_y
_atom_site_fract_z
Hf1 Hf 0.000 0.000 0.000
Hf2 Hf 0.000 0.000 0.677
Hf3 Hf 0.000 0.000 0.323
Mn1 Mn 0.500 0.500 0.833
Mn2 Mn 0.500 0.500 0.167
Ir1 Ir 0.500 0.500 0.500

Record 3
# ZnTcRu | the Alexandria database | GGA-PBE | optimized geometry
# Mass density ... 10.25 g/cm³
# Formation energy ... -0.04 eV/atom
# V ... 85.68 Å³/cell
# Raw total energy ... -7.01 eV per atom
# Energy above the lowest structure with this stoichiometry ... 5 meV/atom
data_ZnTcRu
_cell_length_a 2.790
_cell_length_b 2.790
_cell_length_c 11.003
_cell_angle_alpha 90.00
_cell_angle_beta 90.00
_cell_angle_gamma 90.00
_space_group_name_H-M_alt 'P 1'
_space_group_IT_number 1
loop_
_space_group_symop_operation_xyz
'x,y,z'
loop_
_atom_site_label
_atom_site_type_symbol
_atom_site_fract_x
_atom_site_fract_y
_atom_site_fract_z
Zn1 Zn 0.000 0.500 0.585
Zn2 Zn 0.500 0.000 0.415
Ru1 Ru 0.000 0.500 0.250
Ru2 Ru 0.500 0.000 0.750
Tc1 Tc 0.500 0.000 0.094
Tc2 Tc 0.000 0.500 0.906

Record 4
# Sn2Hg2H | the Alexandria database | GGA-PBE | optimized geometry
# Mass density ... 9.41 g/cm³
# V ... 225.79 Å³/cell
# Raw total energy ... -2.12 eV per atom
data_Sn2Hg2H
_cell_length_a 6.149
_cell_length_b 6.149
_cell_length_c 5.972
_cell_angle_alpha 90.00
_cell_angle_beta 90.00
_cell_angle_gamma 90.00
_space_group_name_H-M_alt 'P 1'
_space_group_IT_number 1
loop_
_space_group_symop_operation_xyz
'x,y,z'
loop_
_atom_site_label
_atom_site_type_symbol
_atom_site_fract_x
_atom_site_fract_y
_atom_site_fract_z
H1 H 0.000 0.000 0.000
H2 H 0.500 0.500 0.000
Hg1 Hg 0.309 0.809 0.000
Hg2 Hg 0.809 0.691 0.000
Hg3 Hg 0.691 0.191 0.000
Hg4 Hg 0.191 0.309 0.000
Sn1 Sn 0.291 0.791 0.500
Sn2 Sn 0.791 0.709 0.500
Sn3 Sn 0.709 0.209 0.500
Sn4 Sn 0.209 0.291 0.500

> V of number 3 (ZnTcRu)?

85.68 Å³/cell

Repeat the third record exactly.
# ZnTcRu | the Alexandria database | GGA-PBE | optimized geometry
# Mass density ... 10.25 g/cm³
# Formation energy ... -0.04 eV/atom
# V ... 85.68 Å³/cell
# Raw total energy ... -7.01 eV per atom
# Energy above the lowest structure with this stoichiometry ... 5 meV/atom
data_ZnTcRu
_cell_length_a 2.790
_cell_length_b 2.790
_cell_length_c 11.003
_cell_angle_alpha 90.00
_cell_angle_beta 90.00
_cell_angle_gamma 90.00
_space_group_name_H-M_alt 'P 1'
_space_group_IT_number 1
loop_
_space_group_symop_operation_xyz
'x,y,z'
loop_
_atom_site_label
_atom_site_type_symbol
_atom_site_fract_x
_atom_site_fract_y
_atom_site_fract_z
Zn1 Zn 0.000 0.500 0.585
Zn2 Zn 0.500 0.000 0.415
Ru1 Ru 0.000 0.500 0.250
Ru2 Ru 0.500 0.000 0.750
Tc1 Tc 0.500 0.000 0.094
Tc2 Tc 0.000 0.500 0.906

> Which of these has the highest raw total energy?

Sn2Hg2H

> raw total energy of number 2 (Hf3Mn2Ir)?

-9.97 eV per atom